First-principles (PBE-GGA) data for Zr4Nb2Sb3N3 after structural relaxation, as listed in OQMD via LeMat-Bulk.

```
Zr4Nb2Sb3N3
1.0
5.170 -2.982 0.000
5.170 2.982 0.000
-3.438 0.000 13.225
Zr Nb Sb N
8 4 6 6
Direct
0.025 0.200 0.087 Zr
0.141 0.303 0.412 Zr
0.200 0.025 0.587 Zr
0.303 0.141 0.912 Zr
0.697 0.859 0.088 Zr
0.800 0.975 0.413 Zr
0.859 0.697 0.588 Zr
0.975 0.800 0.913 Zr
0.365 0.527 0.078 Nb
0.473 0.635 0.422 Nb
0.527 0.365 0.578 Nb
0.635 0.473 0.922 Nb
0.097 0.903 0.250 Sb
0.265 0.416 0.750 Sb
0.416 0.265 0.250 Sb
0.584 0.735 0.750 Sb
0.735 0.584 0.250 Sb
0.903 0.097 0.750 Sb
0.000 0.500 0.000 N
0.159 0.670 0.500 N
0.330 0.841 0.000 N
0.500 0.000 0.500 N
0.670 0.159 0.000 N
0.841 0.330 0.500 N
```

Summary:
Magnetization (μB/f.u.): 0.00
SG: No. 15
E (eV/atom): -8.5677